[1]
VASP calculation (PBE-GGA) on a relaxed structure of NpNb2Zn. Values from VASP.

Structure (Quantum ESPRESSO input):
```
&SYSTEM
  ibrav = 0, nat = 4, ntyp = 3
/
ATOMIC_SPECIES
Zn 65.41 Zn.upf
Np 237.00 Np.upf
Nb 92.91 Nb.upf
CELL_PARAMETERS angstrom
-0.981 2.488 0.995
-0.117 0.465 2.813
9.365 4.920 1.025
ATOMIC_POSITIONS crystal
Zn 0.500 0.500 0.500
Np 0.000 0.000 0.000
Nb 0.243 0.243 0.271
Nb 0.757 0.757 0.729
```

Calculated values
Energy relative to the lowest polymorph listed for this composition, meV per atom: 93
Calculated formation energy, eV per atom: 0.29
Space group: R-3m, No. 166

[2]
VASP calculation (PBE-GGA) on a relaxed structure of NiRh2Br. Values from VASP.

Structure (Quantum ESPRESSO input):
```
&SYSTEM
  ibrav = 0, nat = 4, ntyp = 3
/
ATOMIC_SPECIES
Rh 102.91 Rh.upf
Br 79.90 Br.upf
Ni 58.69 Ni.upf
CELL_PARAMETERS angstrom
2.854 0.000 0.000
0.000 4.681 0.000
0.000 0.000 4.507
ATOMIC_POSITIONS crystal
Rh 0.500 0.500 0.000
Rh 0.000 0.000 0.000
Br 0.500 0.000 0.500
Ni 0.000 0.500 0.500
```

Calculated values
Energy relative to the lowest polymorph listed for this composition, meV per atom: 273
Space group: Pmmm, No. 47
E_form (uncorrected), eV/f.u.: 2.5

[3]
VASP calculation (PBE-GGA) on a relaxed structure of ScNb2VAu. Values from VASP.

Structure (Quantum ESPRESSO input):
```
&SYSTEM
  ibrav = 0, nat = 5, ntyp = 4
/
ATOMIC_SPECIES
Nb 92.91 Nb.upf
V 50.94 V.upf
Au 196.97 Au.upf
Sc 44.96 Sc.upf
CELL_PARAMETERS angstrom
-3.858 -0.047 2.664
-2.528 -1.861 -3.695
1.058 -4.329 1.456
ATOMIC_POSITIONS crystal
Nb 0.500 0.000 0.000
Nb 0.000 0.000 0.500
V 0.500 0.500 0.500
Au 0.000 0.500 0.000
Sc 0.000 0.000 0.000
```

Calculated values
Calculated formation energy, eV per atom: 1.63
Space group: P4/mmm, No. 123

[4]
VASP calculation (PBE-GGA) on a relaxed structure of TlCd3. Values from VASP.

Structure (Quantum ESPRESSO input):
```
&SYSTEM
  ibrav = 0, nat = 8, ntyp = 2
/
ATOMIC_SPECIES
Cd 112.41 Cd.upf
Tl 204.38 Tl.upf
CELL_PARAMETERS angstrom
5.665 -1.256 0.959
-1.340 5.703 0.522
0.914 1.354 7.004
ATOMIC_POSITIONS crystal
Cd 0.886 0.881 0.233
Cd 0.749 0.249 0.500
Cd 0.251 0.751 0.500
Cd 0.500 0.000 0.000
Cd 0.114 0.119 0.767
Cd 0.000 0.500 0.000
Tl 0.635 0.634 0.731
Tl 0.365 0.366 0.269
```

Calculated values
Calculated formation energy, eV per atom: 0.05
Space group: C2/m, No. 12